First-principles (PBE) data for Tb3HoEr7 after structural relaxation, as listed in Alexandria.

Calculated values
Energy ... -4.43 eV per atom
Formation enthalpy at 0 K ... 0.156 eV per atom
Distance to the lowest polymorph of the same formula ... 0.00 eV per formula unit

Cell lengths 6.871, 5.460, 9.854 Å; angles 90.00, 110.17, 90.00 degrees
Atoms (fractional coordinates):
Tb 0.000 0.000 0.000
Tb 0.280 0.500 0.499
Tb 0.720 0.500 0.501
Ho 0.500 0.000 0.000
Er 0.000 0.000 0.500
Er 0.146 0.500 0.790
Er 0.320 0.500 0.140
Er 0.418 0.000 0.330
Er 0.582 0.000 0.670
Er 0.680 0.500 0.860
Er 0.854 0.500 0.210


First-principles (PBE) data for TaMn2Fe after structural relaxation, as listed in Alexandria.

Calculated values
Energy ... -9.66 eV per atom
Formation enthalpy at 0 K ... -0.001 eV per atom

Cell lengths 4.085, 4.085, 3.089 Å; angles 90.00, 90.00, 90.00 degrees
Atoms (fractional coordinates):
Ta 0.000 0.000 0.000
Mn 0.000 0.500 0.500
Mn 0.500 0.000 0.500
Fe 0.500 0.500 0.000


First-principles (PBE) data for Y2ZrTe after structural relaxation, as listed in Alexandria.

Calculated values
Energy ... -6.47 eV per atom

Cell lengths 4.538, 4.538, 10.328 Å; angles 90.00, 90.00, 90.00 degrees
Atoms (fractional coordinates):
Y 0.000 0.000 0.000
Y 0.000 0.500 0.250
Y 0.500 0.000 0.750
Y 0.500 0.500 0.500
Zr 0.000 0.500 0.750
Zr 0.500 0.000 0.250
Te 0.000 0.000 0.500
Te 0.500 0.500 0.000


First-principles (PBE) data for La2CdHgRu after structural relaxation, as listed in Alexandria.

Calculated values
Energy ... -4.46 eV per atom
Formation enthalpy at 0 K ... -0.388 eV per atom
Distance to the lowest polymorph of the same formula ... 0.00 eV per formula unit

Cell lengths 8.328, 4.130, 8.543 Å; angles 90.00, 112.29, 90.00 degrees
Atoms (fractional coordinates):
La 0.010 0.250 0.232
La 0.345 0.750 0.616
La 0.655 0.250 0.384
La 0.990 0.750 0.768
Cd 0.353 0.250 0.948
Cd 0.647 0.750 0.052
Hg 0.310 0.750 0.198
Hg 0.690 0.250 0.802
Ru 0.112 0.250 0.614
Ru 0.888 0.750 0.386


First-principles (PBE) data for ReSbNF2 after structural relaxation, as listed in Alexandria.

Calculated values
Energy ... -5.93 eV per atom
Distance to the lowest polymorph of the same formula ... 0.00 eV per formula unit

Cell lengths 4.360, 4.360, 3.833 Å; angles 90.00, 90.00, 90.00 degrees
Atoms (fractional coordinates):
Re 0.000 0.000 0.000
Sb 0.500 0.500 0.500
N 0.000 0.000 0.500
F 0.000 0.500 0.000
F 0.500 0.000 0.000


First-principles (PBE) data for Li2CaAl6 after structural relaxation, as listed in Alexandria.

Calculated values
Energy ... -3.23 eV per atom
Formation enthalpy at 0 K ... -0.090 eV per atom

Cell lengths 7.953, 7.953, 7.953 Å; angles 155.96, 121.50, 64.16 degrees
Atoms (fractional coordinates):
Li 0.138 0.138 0.000
Li 0.862 0.862 0.000
Ca 0.500 0.000 0.500
Al 0.141 0.320 0.822
Al 0.167 0.500 0.667
Al 0.498 0.320 0.178
Al 0.502 0.680 0.822
Al 0.833 0.500 0.333
Al 0.859 0.680 0.178


First-principles (PBE) data for AcTl2Se2O6 after structural relaxation, as listed in Alexandria.

Calculated values
Energy ... -5.48 eV per atom

Cell lengths 5.863, 5.863, 7.991 Å; angles 102.87, 102.87, 62.99 degrees
Atoms (fractional coordinates):
Ac 0.000 0.000 0.000
Tl 0.229 0.229 0.580
Tl 0.771 0.771 0.420
Se 0.400 0.400 0.269
Se 0.600 0.600 0.731
O 0.256 0.256 0.096
O 0.280 0.717 0.231
O 0.283 0.720 0.769
O 0.717 0.280 0.231
O 0.720 0.283 0.769
O 0.744 0.744 0.904


First-principles (PBE) data for La3ZnTc after structural relaxation, as listed in Alexandria.

Calculated values
Energy ... -5.25 eV per atom
Formation enthalpy at 0 K ... 0.038 eV per atom
Distance to the lowest polymorph of the same formula ... 0.80 eV per formula unit

Cell lengths 5.459, 5.459, 5.459 Å; angles 90.00, 90.00, 90.00 degrees
Atoms (fractional coordinates):
La 0.000 0.000 0.500
La 0.000 0.500 0.000
La 0.500 0.000 0.000
Zn 0.500 0.500 0.500
Tc 0.000 0.000 0.000


First-principles (PBE) data for CuTc2Rh6 after structural relaxation, as listed in Alexandria.

Calculated values
Energy ... -7.53 eV per atom
Formation enthalpy at 0 K ... 0.132 eV per atom

Cell lengths 7.809, 7.809, 2.714 Å; angles 99.94, 99.94, 54.50 degrees
Atoms (fractional coordinates):
Cu 0.000 0.000 0.000
Tc 0.359 0.359 0.860
Tc 0.641 0.641 0.140
Rh 0.002 0.642 0.322
Rh 0.318 0.682 0.500
Rh 0.358 0.998 0.678
Rh 0.642 0.002 0.322
Rh 0.682 0.318 0.500
Rh 0.998 0.358 0.678